! Pm6HoTm3Th2 | the Alexandria database | PBE-GGA | relaxed; values from VASP
&SYSTEM
  ibrav = 0, nat = 12, ntyp = 4
/
ATOMIC_SPECIES
Pm 145.00 Pm.upf
Ho 164.93 Ho.upf
Tm 168.93 Tm.upf
Th 232.04 Th.upf
CELL_PARAMETERS angstrom
-4.059 0.551 4.670
5.999 -1.062 1.215
1.327 11.720 -1.609
ATOMIC_POSITIONS crystal
Pm 0.917 0.581 0.751
Pm 0.747 0.747 0.250
Pm 0.083 0.419 0.249
Pm 0.581 0.917 0.751
Pm 0.253 0.253 0.750
Pm 0.419 0.083 0.249
Ho 0.000 0.000 0.000
Tm 0.167 0.833 0.500
Tm 0.833 0.167 0.500
Tm 0.500 0.500 0.500
Th 0.334 0.666 0.000
Th 0.666 0.334 0.000
! - Crystal system: monoclinic
! - Calculated volume: 392.0 Å³ per cell
! - Energy of formation: 3.9 kJ/mol of atoms


! PmHo5Tm2Th | the Alexandria database | PBE-GGA | relaxed; values from VASP
&SYSTEM
  ibrav = 0, nat = 18, ntyp = 4
/
ATOMIC_SPECIES
Pm 145.00 Pm.upf
Ho 164.93 Ho.upf
Tm 168.93 Tm.upf
Th 232.04 Th.upf
CELL_PARAMETERS angstrom
-2.015 -4.013 -3.497
10.075 2.202 -3.700
3.619 -6.851 5.778
ATOMIC_POSITIONS crystal
Pm 0.596 0.191 0.924
Pm 0.404 0.809 0.424
Ho 0.393 0.787 0.037
Ho 0.733 0.466 0.834
Ho 0.471 0.942 0.743
Ho 0.305 0.611 0.715
Ho 0.986 0.973 0.516
Ho 0.607 0.213 0.537
Ho 0.267 0.534 0.334
Ho 0.529 0.058 0.243
Ho 0.695 0.389 0.215
Ho 0.014 0.027 0.016
Tm 0.888 0.775 0.824
Tm 0.133 0.265 0.707
Tm 0.112 0.225 0.324
Tm 0.867 0.735 0.207
Th 0.810 0.619 0.524
Th 0.190 0.381 0.024
! - Crystal system: orthorhombic
! - Calculated volume: 582.1 Å³ per cell
! - Energy of formation: 16.0 kJ/mol of atoms


! Pm6HoTm2Th | the Alexandria database | PBE-GGA | relaxed; values from VASP
&SYSTEM
  ibrav = 0, nat = 20, ntyp = 4
/
ATOMIC_SPECIES
Pm 145.00 Pm.upf
Ho 164.93 Ho.upf
Tm 168.93 Tm.upf
Th 232.04 Th.upf
CELL_PARAMETERS angstrom
-3.472 7.135 -5.353
-5.751 -5.914 -3.178
-2.245 3.888 7.615
ATOMIC_POSITIONS crystal
Pm 0.059 0.111 0.764
Pm 0.441 0.236 0.889
Pm 0.941 0.889 0.236
Pm 0.559 0.764 0.111
Pm 0.312 0.992 0.429
Pm 0.188 0.571 0.008
Pm 0.688 0.008 0.571
Pm 0.812 0.429 0.992
Pm 0.117 0.705 0.483
Pm 0.383 0.517 0.295
Pm 0.883 0.295 0.517
Pm 0.617 0.483 0.705
Ho 0.250 0.410 0.590
Ho 0.750 0.590 0.410
Tm 0.448 0.797 0.704
Tm 0.052 0.296 0.203
Tm 0.552 0.203 0.296
Tm 0.948 0.704 0.797
Th 0.250 0.968 0.032
Th 0.750 0.032 0.968
! - Crystal system: monoclinic
! - Calculated volume: 667.6 Å³ per cell
! - Energy of formation: 13.8 kJ/mol of atoms


! Pm2HoTm4Th | the Alexandria database | PBE-GGA | relaxed; values from VASP
&SYSTEM
  ibrav = 0, nat = 8, ntyp = 4
/
ATOMIC_SPECIES
Pm 145.00 Pm.upf
Ho 164.93 Ho.upf
Tm 168.93 Tm.upf
Th 232.04 Th.upf
CELL_PARAMETERS angstrom
5.056 0.000 0.000
0.000 4.899 1.191
0.000 2.556 10.797
ATOMIC_POSITIONS crystal
Pm 0.000 0.000 0.000
Pm 0.500 0.000 0.500
Ho 0.500 0.500 0.000
Tm 0.000 0.752 0.748
Tm 0.000 0.248 0.252
Tm 0.500 0.747 0.253
Tm 0.500 0.253 0.747
Th 0.000 0.500 0.500
! - Crystal system: orthorhombic
! - Calculated volume: 252.0 Å³ per cell
! - Energy of formation: 3.1 kJ/mol of atoms


! Pm4Ho2TmTh | the Alexandria database | PBE-GGA | relaxed; values from VASP
&SYSTEM
  ibrav = 0, nat = 8, ntyp = 4
/
ATOMIC_SPECIES
Pm 145.00 Pm.upf
Ho 164.93 Ho.upf
Tm 168.93 Tm.upf
Th 232.04 Th.upf
CELL_PARAMETERS angstrom
5.998 0.000 0.000
0.000 5.697 1.869
0.000 3.419 8.806
ATOMIC_POSITIONS crystal
Pm 0.000 0.748 0.751
Pm 0.000 0.252 0.249
Pm 0.500 0.750 0.249
Pm 0.500 0.250 0.751
Ho 0.000 0.000 0.000
Ho 0.500 0.000 0.500
Tm 0.000 0.500 0.500
Th 0.500 0.500 0.000
! - Crystal system: tetragonal
! - Calculated volume: 262.6 Å³ per cell
! - Energy of formation: 13.1 kJ/mol of atoms


! PmHo2Tm4Th | the Alexandria database | PBE-GGA | relaxed; values from VASP
&SYSTEM
  ibrav = 0, nat = 8, ntyp = 4
/
ATOMIC_SPECIES
Pm 145.00 Pm.upf
Ho 164.93 Ho.upf
Tm 168.93 Tm.upf
Th 232.04 Th.upf
CELL_PARAMETERS angstrom
-4.192 0.163 -2.780
-1.599 -4.242 2.163
-6.061 1.036 9.200
ATOMIC_POSITIONS crystal
Pm 0.500 0.500 0.000
Ho 0.000 0.000 0.000
Ho 0.500 0.000 0.500
Tm 0.000 0.753 0.747
Tm 0.000 0.247 0.253
Tm 0.500 0.746 0.253
Tm 0.500 0.254 0.747
Th 0.000 0.500 0.500
! - Crystal system: monoclinic
! - Calculated volume: 249.4 Å³ per cell
! - Energy of formation: 2.9 kJ/mol of atoms


! Pm3Ho6Tm2Th | the Alexandria database | PBE-GGA | relaxed; values from VASP
&SYSTEM
  ibrav = 0, nat = 12, ntyp = 4
/
ATOMIC_SPECIES
Pm 145.00 Pm.upf
Ho 164.93 Ho.upf
Tm 168.93 Tm.upf
Th 232.04 Th.upf
CELL_PARAMETERS angstrom
6.159 0.000 0.011
-3.078 5.334 0.011
-1.049 -1.817 11.585
ATOMIC_POSITIONS crystal
Pm 0.167 0.833 0.500
Pm 0.833 0.167 0.500
Pm 0.500 0.500 0.500
Ho 0.917 0.587 0.754
Ho 0.752 0.752 0.246
Ho 0.083 0.413 0.246
Ho 0.587 0.917 0.754
Ho 0.248 0.248 0.754
Ho 0.413 0.083 0.246
Tm 0.333 0.667 0.000
Tm 0.667 0.333 0.000
Th 0.000 0.000 0.000
! - Crystal system: monoclinic
! - Calculated volume: 380.8 Å³ per cell
! - Energy of formation: 1.9 kJ/mol of atoms


! Pm2Ho4TmTh | the Alexandria database | PBE-GGA | relaxed; values from VASP
&SYSTEM
  ibrav = 0, nat = 8, ntyp = 4
/
ATOMIC_SPECIES
Pm 145.00 Pm.upf
Ho 164.93 Ho.upf
Tm 168.93 Tm.upf
Th 232.04 Th.upf
CELL_PARAMETERS angstrom
-1.913 4.388 3.397
-3.626 -3.716 2.758
1.695 -5.233 7.714
ATOMIC_POSITIONS crystal
Pm 0.000 0.000 0.000
Pm 0.500 0.000 0.500
Ho 0.000 0.752 0.748
Ho 0.000 0.248 0.252
Ho 0.500 0.749 0.251
Ho 0.500 0.251 0.749
Tm 0.000 0.500 0.500
Th 0.500 0.500 0.000
! - Crystal system: orthorhombic
! - Calculated volume: 256.3 Å³ per cell
! - Energy of formation: 12.1 kJ/mol of atoms


! Pm3Ho2Tm6Th | the Alexandria database | PBE-GGA | relaxed; values from VASP
&SYSTEM
  ibrav = 0, nat = 12, ntyp = 4
/
ATOMIC_SPECIES
Pm 145.00 Pm.upf
Ho 164.93 Ho.upf
Tm 168.93 Tm.upf
Th 232.04 Th.upf
CELL_PARAMETERS angstrom
-3.791 -3.432 -3.410
1.114 -1.536 5.847
-8.001 8.117 2.577
ATOMIC_POSITIONS crystal
Pm 0.167 0.833 0.500
Pm 0.833 0.167 0.500
Pm 0.500 0.500 0.500
Ho 0.333 0.667 0.000
Ho 0.667 0.333 0.000
Tm 0.917 0.587 0.753
Tm 0.753 0.753 0.247
Tm 0.083 0.413 0.247
Tm 0.587 0.917 0.753
Tm 0.247 0.247 0.753
Tm 0.413 0.083 0.247
Th 0.000 0.000 0.000
! - Crystal system: monoclinic
! - Calculated volume: 376.4 Å³ per cell
! - Energy of formation: 2.0 kJ/mol of atoms


! PmHoTmTh2 | the Alexandria database | PBE-GGA | relaxed; values from VASP
&SYSTEM
  ibrav = 0, nat = 10, ntyp = 4
/
ATOMIC_SPECIES
Pm 145.00 Pm.upf
Ho 164.93 Ho.upf
Tm 168.93 Tm.upf
Th 232.04 Th.upf
CELL_PARAMETERS angstrom
6.655 0.000 0.000
0.000 6.653 0.000
0.000 -3.327 7.802
ATOMIC_POSITIONS crystal
Pm 0.250 0.848 0.695
Pm 0.750 0.152 0.305
Ho 0.750 0.741 0.483
Ho 0.250 0.259 0.517
Tm 0.250 0.652 0.303
Tm 0.750 0.348 0.697
Th 0.500 0.253 0.000
Th 0.000 0.747 0.000
Th 0.500 0.747 0.000
Th 0.000 0.253 0.000
! - Crystal system: orthorhombic
! - Calculated volume: 345.5 Å³ per cell
! - Energy of formation: 40.9 kJ/mol of atoms


! PmHo6Tm2Th | the Alexandria database | PBE-GGA | relaxed; values from VASP
&SYSTEM
  ibrav = 0, nat = 20, ntyp = 4
/
ATOMIC_SPECIES
Pm 145.00 Pm.upf
Ho 164.93 Ho.upf
Tm 168.93 Tm.upf
Th 232.04 Th.upf
CELL_PARAMETERS angstrom
-6.714 -6.024 2.972
6.532 -5.014 2.838
-2.618 6.398 5.298
ATOMIC_POSITIONS crystal
Pm 0.250 0.972 0.028
Pm 0.750 0.028 0.972
Ho 0.059 0.120 0.751
Ho 0.441 0.249 0.880
Ho 0.941 0.880 0.249
Ho 0.559 0.751 0.120
Ho 0.317 0.978 0.431
Ho 0.183 0.569 0.022
Ho 0.683 0.022 0.569
Ho 0.817 0.431 0.978
Ho 0.117 0.703 0.490
Ho 0.383 0.510 0.297
Ho 0.883 0.297 0.510
Ho 0.617 0.490 0.703
Tm 0.452 0.805 0.702
Tm 0.048 0.298 0.195
Tm 0.548 0.195 0.298
Tm 0.952 0.702 0.805
Th 0.250 0.407 0.593
Th 0.750 0.593 0.407
! - Crystal system: monoclinic
! - Calculated volume: 638.7 Å³ per cell
! - Energy of formation: 13.8 kJ/mol of atoms


! PmHoTm3Th | the Alexandria database | PBE-GGA | relaxed; values from VASP
&SYSTEM
  ibrav = 0, nat = 12, ntyp = 4
/
ATOMIC_SPECIES
Pm 145.00 Pm.upf
Ho 164.93 Ho.upf
Tm 168.93 Tm.upf
Th 232.04 Th.upf
CELL_PARAMETERS angstrom
5.404 0.000 0.000
-2.702 10.574 2.611
0.000 -0.556 6.671
ATOMIC_POSITIONS crystal
Pm 0.369 0.738 0.960
Pm 0.631 0.262 0.040
Ho 0.672 0.345 0.475
Ho 0.328 0.655 0.525
Tm 0.837 0.674 0.266
Tm 0.777 0.553 0.815
Tm 0.472 0.944 0.277
Tm 0.223 0.447 0.185
Tm 0.528 0.056 0.723
Tm 0.163 0.326 0.734
Th 0.067 0.133 0.324
Th 0.933 0.867 0.676
! - Crystal system: monoclinic
! - Calculated volume: 389.0 Å³ per cell
! - Energy of formation: 19.7 kJ/mol of atoms


! PmY2Ho5Th | the Alexandria database | PBE-GGA | relaxed; values from VASP
&SYSTEM
  ibrav = 0, nat = 18, ntyp = 4
/
ATOMIC_SPECIES
Pm 145.00 Pm.upf
Y 88.91 Y.upf
Ho 164.93 Ho.upf
Th 232.04 Th.upf
CELL_PARAMETERS angstrom
5.709 0.000 0.000
-2.855 10.645 0.000
0.000 0.000 9.800
ATOMIC_POSITIONS crystal
Pm 0.808 0.616 0.519
Pm 0.192 0.384 0.019
Y 0.884 0.769 0.831
Y 0.127 0.254 0.714
Y 0.116 0.231 0.331
Y 0.873 0.746 0.214
Ho 0.401 0.801 0.039
Ho 0.727 0.454 0.824
Ho 0.469 0.938 0.739
Ho 0.305 0.609 0.713
Ho 0.985 0.970 0.520
Ho 0.599 0.199 0.539
Ho 0.273 0.546 0.324
Ho 0.531 0.062 0.239
Ho 0.695 0.391 0.213
Ho 0.015 0.030 0.020
Th 0.592 0.184 0.924
Th 0.408 0.816 0.424
! - Crystal system: orthorhombic
! - Calculated volume: 595.6 Å³ per cell
! - Energy of formation: 15.7 kJ/mol of atoms


! PmY3HoTh | the Alexandria database | PBE-GGA | relaxed; values from VASP
&SYSTEM
  ibrav = 0, nat = 12, ntyp = 4
/
ATOMIC_SPECIES
Pm 145.00 Pm.upf
Y 88.91 Y.upf
Ho 164.93 Ho.upf
Th 232.04 Th.upf
CELL_PARAMETERS angstrom
5.082 0.000 0.000
0.000 7.908 -1.222
0.000 -3.225 10.210
ATOMIC_POSITIONS crystal
Pm 0.250 0.122 0.292
Pm 0.750 0.878 0.708
Y 0.750 0.868 0.044
Y 0.250 0.132 0.956
Y 0.250 0.627 0.456
Y 0.750 0.373 0.544
Y 0.750 0.383 0.207
Y 0.250 0.617 0.793
Ho 0.250 0.128 0.628
Ho 0.750 0.872 0.372
Th 0.250 0.622 0.122
Th 0.750 0.378 0.878
! - Crystal system: monoclinic
! - Calculated volume: 390.3 Å³ per cell
! - Energy of formation: 2.7 kJ/mol of atoms


! Pm6Y2HoTh | the Alexandria database | PBE-GGA | relaxed; values from VASP
&SYSTEM
  ibrav = 0, nat = 20, ntyp = 4
/
ATOMIC_SPECIES
Pm 145.00 Pm.upf
Y 88.91 Y.upf
Ho 164.93 Ho.upf
Th 232.04 Th.upf
CELL_PARAMETERS angstrom
1.195 -3.370 -8.814
-3.338 -7.683 2.991
-6.022 6.005 -2.608
ATOMIC_POSITIONS crystal
Pm 0.062 0.111 0.766
Pm 0.438 0.234 0.889
Pm 0.938 0.889 0.234
Pm 0.562 0.766 0.111
Pm 0.310 0.993 0.428
Pm 0.190 0.572 0.007
Pm 0.690 0.007 0.572
Pm 0.810 0.428 0.993
Pm 0.115 0.705 0.477
Pm 0.385 0.523 0.295
Pm 0.885 0.295 0.523
Pm 0.615 0.477 0.705
Y 0.445 0.796 0.704
Y 0.055 0.296 0.204
Y 0.555 0.204 0.296
Y 0.945 0.704 0.796
Ho 0.250 0.410 0.590
Ho 0.750 0.590 0.410
Th 0.250 0.965 0.035
Th 0.750 0.035 0.965
! - Crystal system: monoclinic
! - Calculated volume: 677.0 Å³ per cell
! - Energy of formation: 14.2 kJ/mol of atoms


! Pm6Y3HoTh2 | the Alexandria database | PBE-GGA | relaxed; values from VASP
&SYSTEM
  ibrav = 0, nat = 12, ntyp = 4
/
ATOMIC_SPECIES
Pm 145.00 Pm.upf
Y 88.91 Y.upf
Ho 164.93 Ho.upf
Th 232.04 Th.upf
CELL_PARAMETERS angstrom
6.244 0.002 -0.002
-3.118 5.409 -0.002
-1.040 -1.800 11.815
ATOMIC_POSITIONS crystal
Pm 0.918 0.582 0.753
Pm 0.746 0.746 0.247
Pm 0.082 0.418 0.247
Pm 0.582 0.918 0.753
Pm 0.254 0.254 0.753
Pm 0.418 0.082 0.247
Y 0.167 0.833 0.500
Y 0.833 0.167 0.500
Y 0.500 0.500 0.500
Ho 0.000 0.000 0.000
Th 0.334 0.666 0.000
Th 0.666 0.334 0.000
! - Crystal system: monoclinic
! - Calculated volume: 399.1 Å³ per cell
! - Energy of formation: 3.3 kJ/mol of atoms


! PmYHoTh | the Alexandria database | PBE-GGA | relaxed; values from VASP
&SYSTEM
  ibrav = 0, nat = 4, ntyp = 4
/
ATOMIC_SPECIES
Y 88.91 Y.upf
Ho 164.93 Ho.upf
Th 232.04 Th.upf
Pm 145.00 Pm.upf
CELL_PARAMETERS angstrom
-4.901 2.894 0.357
-4.502 -1.622 -3.102
-4.523 -2.355 2.553
ATOMIC_POSITIONS crystal
Y 0.750 0.750 0.750
Ho 0.500 0.500 0.500
Th 0.250 0.250 0.250
Pm 0.000 0.000 0.000
! - Crystal system: cubic
! - Calculated volume: 131.1 Å³ per cell
! - Energy of formation: 17.5 kJ/mol of atoms
! - Excess energy over the best structure of this formula in the dataset: 0.169 eV per atom


! Pm2YHo5Th | the Alexandria database | PBE-GGA | relaxed; values from VASP
&SYSTEM
  ibrav = 0, nat = 18, ntyp = 4
/
ATOMIC_SPECIES
Pm 145.00 Pm.upf
Y 88.91 Y.upf
Ho 164.93 Ho.upf
Th 232.04 Th.upf
CELL_PARAMETERS angstrom
-2.473 -2.134 4.562
-3.897 -5.250 -8.018
7.875 -7.213 0.895
ATOMIC_POSITIONS crystal
Pm 0.885 0.770 0.820
Pm 0.115 0.229 0.733
Pm 0.115 0.230 0.320
Pm 0.885 0.771 0.233
Y 0.799 0.598 0.509
Y 0.201 0.402 0.009
Ho 0.393 0.785 0.022
Ho 0.720 0.439 0.812
Ho 0.478 0.957 0.737
Ho 0.300 0.600 0.710
Ho 0.984 0.968 0.526
Ho 0.607 0.215 0.522
Ho 0.280 0.561 0.312
Ho 0.522 0.043 0.237
Ho 0.700 0.400 0.210
Ho 0.016 0.032 0.026
Th 0.584 0.168 0.954
Th 0.416 0.832 0.454
! - Crystal system: orthorhombic
! - Calculated volume: 598.8 Å³ per cell
! - Energy of formation: 16.4 kJ/mol of atoms


! Pm6Y2Ho3Th | the Alexandria database | PBE-GGA | relaxed; values from VASP
&SYSTEM
  ibrav = 0, nat = 12, ntyp = 4
/
ATOMIC_SPECIES
Pm 145.00 Pm.upf
Y 88.91 Y.upf
Ho 164.93 Ho.upf
Th 232.04 Th.upf
CELL_PARAMETERS angstrom
6.239 0.001 0.021
-3.117 5.404 0.021
-1.081 -1.871 11.724
ATOMIC_POSITIONS crystal
Pm 0.916 0.587 0.749
Pm 0.754 0.754 0.250
Pm 0.084 0.413 0.251
Pm 0.587 0.916 0.749
Pm 0.246 0.246 0.750
Pm 0.413 0.084 0.251
Y 0.333 0.667 0.000
Y 0.667 0.333 0.000
Ho 0.167 0.833 0.500
Ho 0.833 0.167 0.500
Ho 0.500 0.500 0.500
Th 0.000 0.000 0.000
! - Crystal system: monoclinic
! - Calculated volume: 395.8 Å³ per cell
! - Energy of formation: 3.0 kJ/mol of atoms